(1)
A plane-wave DFT calculation with GGA-PBE was carried out for a relaxed Tb3Tl5Se12 crystal.

Cell lengths 16.812, 16.812, 16.812 Å; angles 90.00, 90.00, 90.00 degrees
Space group Ia-3d (No. 230)
Inequivalent atoms, fractional coordinates:
Tb: 0.000 0.250 0.125 [24 per cell]
Tl: 0.000 0.000 0.000 [16 per cell]
Tl: 0.000 0.250 0.375 [24 per cell]
Se: 0.016 0.072 0.657 [96 per cell]

Output
For the energy relative to the elements, uncorrected, the calculation gives -0.71 eV per atom. The value obtained for the total magnetization is 0.00 μB/cell. Its crystal system is cubic. For the density, the calculation gives 6.8 g/cm³.


(2)
A plane-wave DFT calculation with GGA-PBE was carried out for a relaxed Tb2TlSe crystal.

Cell lengths 3.9614, 3.9614, 24.0086 Å; angles 90.00, 90.00, 120.00 degrees
Space group R-3m (No. 166, hexagonal axes)
Inequivalent atoms, fractional coordinates:
Tb: 0.0000 0.0000 0.2393 [6 per cell]
Tl: 0.0000 0.0000 0.0000 [3 per cell]
Se: 0.0000 0.0000 0.5000 [3 per cell]

Output
For the energy relative to the elements, uncorrected, the calculation gives -1.06 eV per atom. The value obtained for the total magnetization is 0.00 μB/cell. Its crystal system is trigonal. The offset from the most stable computed form comes out at 0.0000 eV/atom. For the density, the calculation gives 9.2 g/cm³.


(3)
A plane-wave DFT calculation with GGA-PBE was carried out for a relaxed TbTl5Se4 crystal.

Cell lengths 19.106, 4.286, 8.728 Å; angles 90.00, 111.14, 90.00 degrees
Space group C2/m (No. 12)
Inequivalent atoms, fractional coordinates:
Tb: 0.000 0.000 0.000 [2 per cell]
Tl: 0.000 0.000 0.500 [2 per cell]
Tl: 0.155 0.500 0.802 [4 per cell]
Tl: 0.191 0.500 0.313 [4 per cell]
Se: 0.027 0.500 0.242 [4 per cell]
Se: 0.159 0.000 0.047 [4 per cell]

Output
For the energy relative to the elements, uncorrected, the calculation gives -0.76 eV per atom. The value obtained for the total magnetization is 0.00 μB/cell. Its crystal system is monoclinic. For the density, the calculation gives 7.5 g/cm³.


(4)
A plane-wave DFT calculation with GGA-PBE was carried out for a relaxed Tb4Tl3Se8 crystal.

Cell lengths 12.075, 11.981, 8.386 Å; angles 90.00, 133.47, 90.00 degrees
Space group C2/m (No. 12)
Inequivalent atoms, fractional coordinates:
Tb: 0.000 0.000 0.000 [2 per cell]
Tb: 0.000 0.000 0.500 [2 per cell]
Tb: 0.250 0.250 0.000 [4 per cell]
Tl: 0.000 0.500 0.500 [2 per cell]
Tl: 0.250 0.250 0.500 [4 per cell]
Se: 0.000 0.239 0.500 [4 per cell]
Se: 0.000 0.243 0.000 [4 per cell]
Se: 0.222 0.000 0.472 [4 per cell]
Se: 0.233 0.000 0.978 [4 per cell]

Output
For the energy relative to the elements, uncorrected, the calculation gives -1.28 eV per atom. The value obtained for the total magnetization is 0.00 μB/cell. Its crystal system is monoclinic. For the density, the calculation gives 7.1 g/cm³.